This record from Alexandria describes Zn2GeSb2 after structural relaxation. The functional is PBE.

The total energy comes out at -2.850 eV/atom. The value obtained for the formation energy (no corrections) is 0.232 eV per atom.

The space group is P4/mbm (No. 127) and the conventional cell measures 8.2064, 8.2064 and 3.3644 Å, with angles of 90.00, 90.00 and 90.00 degrees. The inequivalent atoms are Zn at (0.1129, 0.3871, 0.0000), Ge at (0.0000, 0.0000, 0.5000) and Sb at (0.1898, 0.6898, 0.5000).

***

This record from Alexandria describes LaFe3 after structural relaxation. The functional is PBE.

The total energy comes out at -6.973 eV/atom. The value obtained for the formation energy is 234 kJ/mol of formula units.

The space group is P-6m2 (No. 187) and the conventional cell measures 3.0090, 3.0090 and 8.5657 Å, with angles of 90.00, 90.00 and 120.00 degrees. The inequivalent atoms are La at (0.0000, 0.0000, 0.0000), Fe at (0.0000, 0.0000, 0.5000) and Fe at (0.3333, 0.6667, 0.3006).

***

Repeat the second record exactly.
This record from Alexandria describes LaFe3 after structural relaxation. The functional is PBE.

The total energy comes out at -6.973 eV/atom. The value obtained for the formation energy is 234 kJ/mol of formula units.

The space group is P-6m2 (No. 187) and the conventional cell measures 3.0090, 3.0090 and 8.5657 Å, with angles of 90.00, 90.00 and 120.00 degrees. The inequivalent atoms are La at (0.0000, 0.0000, 0.0000), Fe at (0.0000, 0.0000, 0.5000) and Fe at (0.3333, 0.6667, 0.3006).